The following is a DFT calculation (PBE-GGA) of an optimized crystal structure of LuSnRu2.

The calculated volume is 69.6 Å³ per cell. The total magnetization comes out at 0.00 μB per cell. As for the formation energy: -0.460 eV per atom.

It has space group P4/mmm (No. 123), with a = 4.5630 Å, b = 4.5630 Å, c = 3.3414 Å, α = 90.00°, β = 90.00° and γ = 90.00°. The distinct sites, in fractional coordinates, are Lu at (0.0000, 0.0000, 0.0000), Sn at (0.5000, 0.5000, 0.0000) and Ru at (0.0000, 0.5000, 0.5000).